Ac4TlIr: relaxed, PBE.

Cell: 14.986 14.986 14.986 Å, 90.00 90.00 90.00°
Space group F-43m (No. 216)
One atom of each set of equivalent atoms:
Ac: 0.000 0.000 0.189 (multiplicity 24)
Ac: 0.060 0.250 0.250 (multiplicity 24)
Ac: 0.153 0.153 0.653 (multiplicity 16)
Tl: 0.082 0.082 0.418 (multiplicity 16)
Ir: 0.142 0.142 0.858 (multiplicity 16)

total DFT energy (no corrections) = -481.8 eV/cell
formation energy = -0.408 eV per atom
E above lowest polymorph = 0.000 eV per atom

***

Ac6Tl3Ir2: relaxed, PBE.

Cell: 5.771 5.771 23.831 Å, 90.00 90.00 90.00°
Space group I4/mmm (No. 139)
One atom of each set of equivalent atoms:
Ac: 0.000 0.000 0.195 (multiplicity 4)
Ac: 0.000 0.500 0.082 (multiplicity 8)
Tl: 0.000 0.000 0.333 (multiplicity 4)
Tl: 0.000 0.000 0.500 (multiplicity 2)
Ir: 0.000 0.000 0.060 (multiplicity 4)

total DFT energy (no corrections) = -106.6 eV/cell
formation energy = -0.347 eV per atom

***

Ac8TlIr4: relaxed, PBE.

Cell: 12.790 12.790 12.790 Å, 90.00 90.00 90.00°
Space group F-43m (No. 216)
One atom of each set of equivalent atoms:
Ac: 0.107 0.107 0.107 (multiplicity 16)
Ac: 0.139 0.139 0.639 (multiplicity 16)
Tl: 0.250 0.250 0.250 (multiplicity 4)
Ir: 0.127 0.127 0.873 (multiplicity 16)

total DFT energy (no corrections) = -307.7 eV/cell
formation energy = -0.481 eV per atom
E above lowest polymorph = 0.067 eV per atom

***

Ac6TlIr2: relaxed, PBE.

Cell: 13.406 4.379 12.750 Å, 90.00 106.08 90.00°
Space group C2/m (No. 12)
One atom of each set of equivalent atoms:
Ac: 0.029 0.000 0.278 (multiplicity 4)
Ac: 0.165 0.500 0.576 (multiplicity 4)
Ac: 0.202 0.500 0.120 (multiplicity 4)
Tl: 0.000 0.000 0.000 (multiplicity 2)
Ir: 0.180 0.500 0.342 (multiplicity 4)

total DFT energy (no corrections) = -97.0 eV/cell
formation energy = -0.419 eV per atom
E above lowest polymorph = 0.000 eV per atom

***

Ac5Tl4Ir: relaxed, PBE.

Cell: 10.820 10.820 6.258 Å, 90.00 90.00 90.00°
Space group I4/m (No. 87)
One atom of each set of equivalent atoms:
Ac: 0.000 0.000 0.000 (multiplicity 2)
Ac: 0.123 0.761 0.500 (multiplicity 8)
Tl: 0.061 0.640 0.000 (multiplicity 8)
Ir: 0.000 0.000 0.500 (multiplicity 2)

total DFT energy (no corrections) = -84.1 eV/cell
formation energy = -0.318 eV per atom

***

Ac8Tl2Ir3: relaxed, PBE.

Cell: 16.612 8.738 7.643 Å, 90.00 108.38 90.00°
Space group C2/m (No. 12)
One atom of each set of equivalent atoms:
Ac: 0.103 0.000 0.403 (multiplicity 4)
Ac: 0.103 0.237 0.896 (multiplicity 8)
Ac: 0.113 0.500 0.456 (multiplicity 4)
Tl: 0.238 0.500 0.172 (multiplicity 4)
Ir: 0.000 0.000 0.000 (multiplicity 2)
Ir: 0.000 0.252 0.500 (multiplicity 4)

total DFT energy (no corrections) = -139.9 eV/cell
formation energy = -0.443 eV per atom

***

Which value of formation energy does entry 6 give? -0.443 eV per atom